Pm5SnPb2: relaxed, PBE.

## Properties
- energy of formation (eV per atom) = -0.417
- E above lowest polymorph (meV per atom) = 117
- space group = I4/mmm (139)
- volume (Å³/cell) = 238.1
- electronic total energy (eV for the cell shown) = -38.510

```
Pm5SnPb2
1.0
7.131 0.000 0.000
0.000 7.131 -0.001
-3.565 -3.567 4.682
Pm Sn Pb
5 1 2
Cartesian
1.783 -1.784 4.421
-1.783 -1.784 4.421
1.783 1.781 4.421
-1.782 1.781 4.421
3.566 3.564 2.080
0.000 -0.001 2.080
0.000 3.565 2.079
3.566 -0.001 2.080
```

---

Pm3Sn3Pb: relaxed, PBE.

## Properties
- energy of formation (eV per atom) = -0.466
- space group = P6_3/m (176)
- volume (Å³/cell) = 403.7
- electronic total energy (eV for the cell shown) = -66.468

```
Pm3Sn3Pb
1.0
5.451 0.000 0.000
0.000 9.247 0.000
0.000 -4.624 8.009
Pm Sn Pb
6 6 2
Cartesian
4.088 3.462 4.529
4.088 3.594 0.734
4.088 6.815 2.746
1.363 1.162 3.479
1.363 1.030 7.275
1.363 -2.191 5.263
1.363 4.013 6.200
1.363 1.871 0.375
1.363 7.987 1.433
4.088 0.611 1.808
4.088 2.752 7.634
4.088 -3.363 6.575
1.363 4.624 2.670
4.088 0.000 5.339
```

---

Pm2Sn3Pb: relaxed, PBE.

## Properties
- energy of formation (eV per atom) = -0.587
- E above lowest polymorph (meV per atom) = 0
- space group = Cmmm (65)
- volume (Å³/cell) = 169.1
- electronic total energy (eV for the cell shown) = -28.739

```
Pm2Sn3Pb
1.0
4.260 0.000 -1.348
0.000 4.704 0.000
0.297 0.000 8.346
Pm Sn Pb
2 3 1
Cartesian
0.713 2.352 2.255
3.844 2.352 4.743
1.530 0.000 4.837
3.027 0.000 2.161
2.130 2.352 -0.674
0.000 0.000 0.000
```

---

Pm8SnPb5: relaxed, PBE.

## Properties
- energy of formation (eV per atom) = -0.609
- space group = I-4 (82)
- volume (Å³/cell) = 446.3
- electronic total energy (eV for the cell shown) = -69.069

```
Pm8SnPb5
1.0
-3.062 -2.096 7.467
-2.439 -5.603 -5.673
8.330 0.153 0.347
Pm Sn Pb
8 1 5
Cartesian
-2.114 -4.453 -3.306
2.834 -2.597 6.993
0.185 -2.957 4.427
4.425 -3.350 2.746
-1.029 -4.405 0.236
3.218 -6.138 -0.071
1.720 -1.904 0.667
2.077 -4.381 -3.127
4.262 -3.211 -0.709
-2.939 -4.174 5.376
-2.729 -6.700 1.666
1.379 -4.980 2.265
2.634 -0.972 3.907
-1.446 -1.489 2.096
```

---

Pm5SnPb6: relaxed, PBE.

## Properties
- energy of formation (eV per atom) = -0.313
- space group = C2/m (12)
- volume (Å³/cell) = 384.3
- electronic total energy (eV for the cell shown) = -53.764

```
Pm5SnPb6
1.0
-6.611 -3.267 -4.007
4.172 -5.246 -5.418
1.836 -6.578 0.928
Pm Sn Pb
5 1 6
Cartesian
-1.389 -6.936 -2.248
1.992 -4.111 -1.341
-1.220 -4.256 -4.712
4.016 -7.713 -3.149
0.786 -8.154 -6.249
0.000 0.000 0.000
-3.937 -5.082 -3.147
1.331 -6.066 -3.855
-0.518 -2.112 -2.332
-1.921 -6.401 -7.093
-1.934 -9.025 -4.642
3.334 -10.009 -5.350
```

---

PmSnPb: relaxed, PBE.

## Properties
- energy of formation (eV per atom) = -0.331
- E above lowest polymorph (meV per atom) = 213
- space group = I4mm (107)
- volume (Å³/cell) = 87.0
- electronic total energy (eV for the cell shown) = -13.456

```
PmSnPb
1.0
-2.404 -1.726 -2.626
3.039 -2.119 -1.388
-1.443 -2.097 5.680
Pb Sn Pm
1 1 1
Cartesian
-0.039 -0.138 0.126
-0.027 -3.155 -0.881
-0.742 -2.650 2.422
```

---

Pm2Sn4Pb: relaxed, PBE.

## Properties
- energy of formation (eV per atom) = -0.414
- E above lowest polymorph (meV per atom) = 0
- space group = C2/m (12)
- volume (Å³/cell) = 209.2
- electronic total energy (eV for the cell shown) = -32.116

```
Pm2Sn4Pb
1.0
2.217 5.303 -3.277
-1.542 -2.933 -5.728
-4.705 0.745 4.714
Pm Sn Pb
2 4 1
Cartesian
-3.266 -0.363 -2.742
-1.387 3.754 -1.517
0.194 1.916 -6.740
-0.142 0.730 -2.237
0.966 3.382 -3.875
-0.914 -0.736 -5.100
-2.158 2.289 -4.382
```

---

Pm5SnPb2: relaxed, PBE.

## Properties
- energy of formation (eV per atom) = -0.534
- E above lowest polymorph (meV per atom) = 0
- space group = I4/mcm (140)
- volume (Å³/cell) = 503.2
- electronic total energy (eV for the cell shown) = -78.897

```
Pm5SnPb2
1.0
7.629 0.000 -3.601
-1.700 7.438 -3.601
-0.304 -0.381 9.238
Pm Sn Pb
10 2 4
Cartesian
2.498 4.852 2.125
4.417 7.259 -3.691
0.000 0.000 0.000
2.965 3.719 -3.601
1.208 -0.203 5.726
4.718 1.133 3.279
-1.012 3.516 4.572
0.907 5.923 -1.244
6.637 3.540 -2.537
3.128 2.205 -0.090
4.295 5.387 -0.783
1.330 1.669 2.818
0.464 2.671 -1.801
4.650 1.047 -2.815
1.280 6.390 -4.388
5.466 4.766 -5.402
```

---

SrPmSnPb: relaxed, PBE.

## Properties
- energy of formation (eV per atom) = -0.483
- space group = F-43m (216)
- volume (Å³/cell) = 126.5
- electronic total energy (eV for the cell shown) = -16.074

```
SrPmSnPb
1.0
5.635 0.000 0.000
2.817 4.880 0.000
2.817 1.627 4.601
Pb Sr Sn Pm
1 1 1 1
Cartesian
8.452 4.880 3.451
5.635 3.253 2.300
2.817 1.627 1.150
0.000 0.000 0.000
```

---

Pm4SnTe2Pb: relaxed, PBE.

## Properties
- space group = P2/m (10)
- volume (Å³/cell) = 259.3
- ΔE_f (raw) (eV/atom) = -1.0657
- electronic total energy (eV for the cell shown) = -41.522

```
Pm4SnTe2Pb
1.0
-4.425 -0.376 0.754
1.457 -4.124 6.497
0.620 4.859 6.060
Pm Sn Te Pb
4 1 2 1
Cartesian
1.547 0.584 9.375
-3.895 -0.225 3.937
-0.974 -2.005 6.739
-1.374 2.364 6.573
1.038 0.367 6.279
0.620 4.859 6.060
-1.902 2.242 3.407
-1.484 -2.250 3.626
```

---

Pm6SnTe3Pb2: relaxed, PBE.

## Properties
- space group = C2/m (12)
- volume (Å³/cell) = 390.0
- ΔE_f (raw) (eV/atom) = -1.0504
- electronic total energy (eV for the cell shown) = -61.953

```
Pm6SnTe3Pb2
1.0
4.516 0.000 0.000
0.000 9.022 0.291
-2.258 -2.633 9.486
Pm Sn Te Pb
6 1 3 2
Cartesian
0.000 6.480 6.639
2.258 4.348 3.351
2.258 -0.091 3.138
0.000 2.189 0.089
2.258 4.200 9.688
0.000 2.041 6.426
2.258 0.000 0.000
2.258 4.511 0.145
2.258 -0.251 6.366
0.000 6.640 3.411
2.258 4.260 6.519
0.000 2.129 3.258
```

---

PmTlSnPb: relaxed, PBE.

## Properties
- energy of formation (eV per atom) = -0.395
- E above lowest polymorph (meV per atom) = 0
- space group = Pmmm (47)
- volume (Å³/cell) = 112.8
- electronic total energy (eV for the cell shown) = -16.409

```
PmTlSnPb
1.0
4.926 0.000 0.000
0.000 4.756 0.000
0.000 0.000 4.814
Pm Tl Sn Pb
1 1 1 1
Cartesian
2.463 2.378 0.000
2.463 0.000 2.407
0.000 0.000 0.000
0.000 2.378 2.407
```

---

PmTlSnPb: relaxed, PBE.

## Properties
- energy of formation (eV per atom) = -0.197
- E above lowest polymorph (meV per atom) = 199
- space group = F-43m (216)
- volume (Å³/cell) = 119.4
- electronic total energy (eV for the cell shown) = -15.614

```
PmTlSnPb
1.0
-3.102 3.646 -2.762
-2.584 -1.526 -4.641
-5.501 -0.531 -0.053
Pb Tl Sn Pm
1 1 1 1
Cartesian
0.000 0.000 0.000
-8.390 1.192 -5.593
-2.797 0.397 -1.864
-5.593 0.795 -3.728
```

---

PmYSnPb: relaxed, PBE.

## Properties
- energy of formation (eV per atom) = -0.497
- space group = F-43m (216)
- volume (Å³/cell) = 115.5
- electronic total energy (eV for the cell shown) = -20.913

```
PmYSnPb
1.0
-2.863 -2.228 -4.089
-2.969 -4.504 0.879
-5.458 0.284 0.014
Pb Y Sn Pm
1 1 1 1
Cartesian
-5.645 -3.224 -1.598
-8.468 -4.836 -2.397
0.000 0.000 0.000
-2.823 -1.612 -0.799
```

---

PmZnSnPb: relaxed, PBE.

## Properties
- energy of formation (eV per atom) = -0.180
- space group = F-43m (216)
- volume (Å³/cell) = 108.7
- electronic total energy (eV for the cell shown) = -14.457

```
PmZnSnPb
1.0
-3.810 3.674 -0.829
-5.166 -1.404 0.205
-3.065 1.648 4.074
Pb Zn Sn Pm
1 1 1 1
Cartesian
-6.020 1.959 1.724
-9.030 2.938 2.587
-3.010 0.979 0.862
0.000 0.000 0.000
```

---

PmZrSnPb: relaxed, PBE.

## Properties
- energy of formation (eV per atom) = -0.260
- space group = F-43m (216)
- volume (Å³/cell) = 105.8
- electronic total energy (eV for the cell shown) = -22.049

```
PmZrSnPb
1.0
5.308 0.000 0.000
2.654 4.597 0.000
2.654 1.532 4.334
Pb Sn Zr Pm
1 1 1 1
Cartesian
7.963 4.597 3.251
2.654 1.532 1.084
5.308 3.065 2.167
0.000 0.000 0.000
```

---

SrPm5Pb6: relaxed, PBE.

## Properties
- energy of formation (eV per atom) = -0.487
- E above lowest polymorph (meV per atom) = 0
- space group = C2/m (12)
- volume (Å³/cell) = 365.1
- electronic total energy (eV for the cell shown) = -53.532

```
SrPm5Pb6
1.0
-3.427 3.591 1.293
-5.630 -6.496 3.123
7.803 1.999 4.830
Pb Sr Pm
6 1 5
Cartesian
-0.307 -1.450 3.167
-3.105 -4.678 4.719
-3.142 0.147 1.439
1.888 -1.053 7.807
1.851 3.772 4.527
-0.947 0.543 6.079
0.000 0.000 0.000
-0.639 -2.886 6.237
-3.449 -1.275 4.523
-2.815 -3.248 1.562
2.196 0.368 4.723
-0.615 1.980 3.010
```

---

SrPm5Pb3: relaxed, PBE.

## Properties
- energy of formation (eV per atom) = -0.413
- space group = P6_3/mcm (193)
- volume (Å³/cell) = 568.7
- electronic total energy (eV for the cell shown) = -80.550

```
SrPm5Pb3
1.0
-6.706 -1.628 -0.072
2.088 -8.398 -4.503
-0.200 0.391 9.745
Sr Pm Pb
2 10 6
Cartesian
0.000 0.000 0.000
-3.353 -0.814 -0.036
1.325 -5.468 0.246
-2.791 -3.353 4.959
0.563 -2.539 4.996
-2.028 -6.282 0.210
-3.787 -6.494 3.397
-3.010 -9.486 -1.230
-4.317 -4.089 -1.592
-1.032 -3.142 1.772
-1.808 -0.150 6.399
-0.302 -5.937 -2.983
-4.405 -3.872 1.681
-3.076 -9.358 1.961
-3.633 -6.839 -3.067
-0.414 -5.764 3.488
-1.743 -0.278 3.208
-0.985 -3.187 -1.509
```

---

SrPmPb2: relaxed, PBE.

## Properties
- energy of formation (eV per atom) = -0.477
- space group = Pmc2_1 (26)
- volume (Å³/cell) = 269.2
- electronic total energy (eV for the cell shown) = -31.518

```
SrPmPb2
1.0
4.527 0.000 0.000
0.000 6.524 0.000
0.000 0.000 9.113
Sr Pm Pb
2 2 4
Cartesian
2.264 2.482 2.852
2.264 4.042 7.408
0.000 0.856 6.274
0.000 5.668 1.718
0.000 3.961 4.891
0.000 2.564 0.335
2.264 6.033 4.208
2.264 0.492 8.765
```

---

SrPmPb6: relaxed, PBE.

## Properties
- energy of formation (eV per atom) = -0.360
- space group = P4/mmm (123)
- volume (Å³/cell) = 245.9
- electronic total energy (eV for the cell shown) = -31.562

```
SrPmPb6
1.0
-0.716 4.896 0.067
-2.247 -0.269 -4.401
-8.828 -1.353 4.589
Sr Pm Pb
1 1 6
Cartesian
0.000 0.000 0.000
-4.414 -0.677 2.294
-1.481 2.314 -2.167
-5.895 1.637 0.127
-2.603 2.104 1.201
-6.940 1.439 3.455
-3.369 -0.479 -1.033
-7.706 -1.144 1.221
```